# FeIrS2F GGA+U optimized geometry
# VASP energy	-19.84	eV/cell
data_FeIrS2F
_chemical_formula_sum 'Fe1 Ir1 S2 F1'
_space_group_name_H-M_alt 'P 4/m m m'
_space_group_IT_number 123
_space_group_name_Hall '-P 4 2'
_cell_length_a 4.703
_cell_length_b 4.703
_cell_length_c 3.903
_cell_angle_alpha 90.00
_cell_angle_beta 90.00
_cell_angle_gamma 90.00
loop_
_atom_site_label
_atom_site_type_symbol
_atom_site_fract_x
_atom_site_fract_y
_atom_site_fract_z
Fe1 Fe 0.000 0.000 0.000
Ir1 Ir 0.500 0.500 0.000
S1 S 0.000 0.500 0.500
F1 F 0.500 0.500 0.500